Record 1
# LiBeNb

A relaxed LiBeNb crystal (GGA-PBE, Alexandria).

Unit cell a=7.1198 b=5.1558 c=4.1740 alpha=90.00 beta=90.00 gamma=90.00
Last column: nearest neighbours and their distance in Å.
Fractional positions:
Be (0.5000, 0.0000, 0.5000)  2 Be 2.58, 6 Li 2.67-2.74, 6 Nb 2.71-2.72
Be (0.0000, 0.5000, 0.0000)  2 Be 2.58, 6 Li 2.67-2.74, 6 Nb 2.71-2.72
Be (0.5000, 0.5000, 0.5000)  2 Be 2.58, 6 Li 2.67-2.74, 6 Nb 2.71-2.72
Be (0.0000, 0.0000, 0.0000)  2 Be 2.58, 6 Li 2.67-2.74, 6 Nb 2.71-2.72
Li (0.8279, 0.7500, 0.5004)  5 Nb 2.39-2.58, 2 Be 2.67
Li (0.3279, 0.7500, 0.9996)  5 Nb 2.39-2.58, 2 Be 2.67
Li (0.6721, 0.2500, 0.0004)  5 Nb 2.39-2.58, 2 Be 2.67
Li (0.1721, 0.2500, 0.4996)  5 Nb 2.39-2.58, 2 Be 2.67
Nb (0.6637, 0.7500, 0.0003)  5 Li 2.39-2.58
Nb (0.3363, 0.2500, 0.9997)  5 Li 2.39-2.58
Nb (0.8363, 0.2500, 0.5003)  5 Li 2.39-2.58
Nb (0.1637, 0.7500, 0.4997)  5 Li 2.39-2.58

## Properties
Calculated formation energy: 44.0 kJ per mole of atoms
DFT total energy: -57.4 eV for the cell shown
Symmetry: No. 63

---

Record 2
# LiBeNb

A relaxed LiBeNb crystal (GGA-PBE, Alexandria).

Unit cell a=3.4844 b=2.7337 c=9.1869 alpha=90.00 beta=90.00 gamma=90.00
Last column: nearest neighbours and their distance in Å.
Fractional positions:
Li (0.0000, 0.5000, 0.7772)  6 Li 2.73-2.78, 4 Nb 2.95
Li (0.5000, 0.0000, 0.5945)  4 Be 2.66, 6 Li 2.73-2.78, 1 Nb 2.76
Nb (0.5000, 0.0000, 0.9891)  4 Be 2.62, 3 Nb 2.73-2.80
Nb (0.5000, 0.0000, 0.2940)  8 Be 2.56-2.62, 3 Nb 2.73-2.80, 1 Li 2.76
Be (0.0000, 0.5000, 0.1406)  8 Nb 2.62, 3 Be 2.70-2.73
Be (0.0000, 0.5000, 0.4341)  4 Nb 2.56, 4 Li 2.66, 3 Be 2.70-2.73

## Properties
Calculated formation energy: 15.4 kJ per mole of atoms
DFT total energy: -30.5 eV for the cell shown
Symmetry: No. 25

---

Record 3
# LiBeNb

A relaxed LiBeNb crystal (GGA-PBE, Alexandria).

Unit cell a=7.5516 b=2.5489 c=4.6544 alpha=90.00 beta=103.35 gamma=90.00
Last column: nearest neighbours and their distance in Å.
Fractional positions:
Be (0.8808, 0.2500, 0.3961)  2 Be 2.24
Be (0.1192, 0.7500, 0.6039)  2 Be 2.24
Li (0.5721, 0.7500, 0.2760)  4 Li 2.55-2.85, 2 Be 2.60
Li (0.4279, 0.2500, 0.7240)  4 Li 2.55-2.85, 2 Be 2.60
Nb (0.1714, 0.2500, 0.1227)  2 Nb 2.55, 5 Be 2.68-2.78
Nb (0.8286, 0.7500, 0.8773)  2 Nb 2.55, 5 Be 2.68-2.78

## Properties
Calculated formation energy: 17.7 kJ per mole of atoms
DFT total energy: -30.3 eV for the cell shown
Symmetry: No. 11

---

| no. | relative energy among the computed polymorphs (meV/atom) |
| --- | --- |
| 1 | 359.8 |
| 2 | 63.0 |
| 3 | 86.8 |